ThNi8B2 PBE optimized geometry; V = 154.26 Å³/cell; formation enthalpy at 0 K = 5.2 kJ/mol of atoms; SG = P4/mmm (123)
1.0
-1.4820 3.9540 2.2422
-2.3858 1.3307 -3.9236
-5.4612 -3.2961 2.2029
Ni B Th
8 2 1
Direct
0.2472 0.7528 0.1802
0.2472 0.2472 0.8198
0.7528 0.7528 0.1802
0.7528 0.2472 0.8198
0.7528 0.2472 0.1802
0.2472 0.2472 0.1802
0.7528 0.7528 0.8198
0.2472 0.7528 0.8198
0.0000 0.5000 0.0000
0.5000 0.0000 0.0000
0.5000 0.5000 0.5000